An optimized crystal structure of YTh2PaSb5. Source: Alexandria via LeMat-Bulk, functional PBE.

It has space group P4/mmm (No. 123), with a = 5.272 Å, b = 5.272 Å, c = 11.579 Å, α = 90.00°, β = 90.00° and γ = 90.00°. The distinct sites, in fractional coordinates, are Y at (0.000, 0.000, 0.000), Th at (0.500, 0.500, 0.182), Pa at (0.000, 0.000, 0.500), Sb at (0.000, 0.000, 0.252), Sb at (0.000, 0.500, 0.000) and Sb at (0.500, 0.500, 0.500).

The density of states at the Fermi level is 9.0 states/eV/f.u.

---

An optimized crystal structure of PaTiSb2. Source: Alexandria via LeMat-Bulk, functional PBE.

It has space group Fm-3m (No. 225), with a = 7.194 Å, b = 7.194 Å, c = 7.194 Å, α = 90.00°, β = 90.00° and γ = 90.00°. The distinct sites, in fractional coordinates, are Pa at (0.000, 0.000, 0.000), Ti at (0.000, 0.000, 0.500) and Sb at (0.250, 0.250, 0.250).

The density of states at the Fermi level is 3.0 states/eV/f.u.

---

An optimized crystal structure of PaTi4Sb2. Source: Alexandria via LeMat-Bulk, functional PBE.

It has space group Cc (No. 9), with a = 8.704 Å, b = 11.915 Å, c = 6.782 Å, α = 90.00°, β = 124.02° and γ = 90.00°. The distinct sites, in fractional coordinates, are Pa at (0.000, 0.180, 0.000), Ti at (0.122, 0.455, 0.143), Ti at (0.215, 0.091, 0.681), Ti at (0.311, 0.325, 0.952), Ti at (0.415, 0.477, 0.676), Sb at (0.111, 0.310, 0.455) and Sb at (0.391, 0.106, 0.176).

The density of states at the Fermi level is 8.9 states/eV/f.u.

---

An optimized crystal structure of PaTi6Sb3. Source: Alexandria via LeMat-Bulk, functional PBE.

It has space group Cmc2_1 (No. 36), with a = 10.336 Å, b = 10.651 Å, c = 7.496 Å, α = 90.00°, β = 90.00° and γ = 90.00°. The distinct sites, in fractional coordinates, are Pa at (0.000, 0.223, 0.000), Ti at (0.000, 0.283, 0.599), Ti at (0.000, 0.484, 0.240), Ti at (0.147, 0.086, 0.683), Ti at (0.247, 0.317, 0.827), Sb at (0.000, 0.085, 0.369) and Sb at (0.199, 0.430, 0.485).

The density of states at the Fermi level is 13.5 states/eV/f.u.

---

An optimized crystal structure of Pa3Ti2Sb3. Source: Alexandria via LeMat-Bulk, functional PBE.

It has space group Cmcm (No. 63), with a = 4.650 Å, b = 11.110 Å, c = 14.618 Å, α = 90.00°, β = 90.00° and γ = 90.00°. The distinct sites, in fractional coordinates, are Pa at (0.000, 0.071, 0.106), Pa at (0.000, 0.305, 0.250), Ti at (0.000, 0.215, 0.627), Sb at (0.000, 0.364, 0.039) and Sb at (0.000, 0.408, 0.750).

The density of states at the Fermi level is 13.3 states/eV/f.u.

---

An optimized crystal structure of PaTi2Sb2. Source: Alexandria via LeMat-Bulk, functional PBE.

It has space group I4_1md (No. 109), with a = 6.479 Å, b = 6.479 Å, c = 11.355 Å, α = 90.00°, β = 90.00° and γ = 90.00°. The distinct sites, in fractional coordinates, are Pa at (0.000, 0.000, 0.000), Ti at (0.000, 0.307, 0.512) and Sb at (0.000, 0.217, 0.751).

The density of states at the Fermi level is 8.0 states/eV/f.u.

---

An optimized crystal structure of PaTi5Sb3. Source: Alexandria via LeMat-Bulk, functional PBE.

It has space group P6_3/mcm (No. 193), with a = 8.3514 Å, b = 8.3514 Å, c = 5.7789 Å, α = 90.00°, β = 90.00° and γ = 120.00°. The distinct sites, in fractional coordinates, are Pa at (0.0000, 0.0000, 0.0000), Ti at (0.0000, 0.3144, 0.2500), Ti at (0.3333, 0.6667, 0.0000) and Sb at (0.0000, 0.3552, 0.7500).

The density of states at the Fermi level is 10.9 states/eV/f.u.

---

An optimized crystal structure of PaTiSb2. Source: Alexandria via LeMat-Bulk, functional PBE.

It has space group Pnma (No. 62), with a = 7.185 Å, b = 4.171 Å, c = 13.476 Å, α = 90.00°, β = 90.00° and γ = 90.00°. The distinct sites, in fractional coordinates, are Pa at (0.143, 0.250, 0.147), Ti at (0.059, 0.750, 0.414), Sb at (0.136, 0.250, 0.769) and Sb at (0.224, 0.750, 0.985).

The density of states at the Fermi level is 4.5 states/eV/f.u.

---

no.,formation energy from raw total energies (meV per atom)
1,-19
2,-347
3,-188
4,-215
5,-308
6,88
7,-352
8,-396